The following is a DFT calculation (PBE) of a geometry-optimized Tb2SmH6 structure.

## Properties
Calculated total energy (eV per atom): -4.48
V (Å³ per cell): 219

Structure (CIF):
```
data_Tb2SmH6
_symmetry_space_group_name_H-M 'I 4/m m m'
_symmetry_Int_Tables_number 139
_symmetry_space_group_name_Hall '-I 4 2'
_cell_length_a 3.7262
_cell_length_b 3.7262
_cell_length_c 15.8071
_cell_angle_alpha 90.00
_cell_angle_beta 90.00
_cell_angle_gamma 90.00
loop_
_atom_site_label
_atom_site_type_symbol
_atom_site_fract_x
_atom_site_fract_y
_atom_site_fract_z
_atom_site_occupancy
Tb1 Tb 0.0000 0.0000 0.1679 1
Sm1 Sm 0.0000 0.0000 0.5000 1
H1 H 0.0000 0.5000 0.0868 1
H2 H 0.0000 0.5000 0.2500 1
```